(1)
The following is a GGA-PBE calculation of DyHoNi after structural relaxation, from Alexandria.

Cell and atoms, written as CIF:
```
data_DyHoNi
_cell_length_a 3.9218
_cell_length_b 3.9218
_cell_length_c 6.0844
_cell_angle_alpha 90.00
_cell_angle_beta 90.00
_cell_angle_gamma 120.00
_space_group_name_H-M_alt 'P 3 m 1'
_space_group_IT_number 156
loop_
_space_group_symop_operation_xyz
'x,y,z'
'-y,x-y,z'
'-x+y,-x,z'
'-y,-x,z'
'-x+y,y,z'
'x,x-y,z'
loop_
_atom_site_label
_atom_site_type_symbol
_atom_site_fract_x
_atom_site_fract_y
_atom_site_fract_z
Dy1 Dy 0.0000 0.0000 0.0000
Ho1 Ho 0.6667 0.3333 0.5210
Ni1 Ni 0.3333 0.6667 0.7591
```

For the energy, the calculation gives -5.154 eV/atom. The formation energy from the elements is -0.1665 eV/atom. The calculation puts the total magnetic moment at 0.000 μB per formula unit.


(2)
The following is a GGA-PBE calculation of Tb15Y4In after structural relaxation, from Alexandria.

Cell and atoms, written as CIF:
```
data_Tb15Y4In
_cell_length_a 4.9849
_cell_length_b 4.9849
_cell_length_c 25.2720
_cell_angle_alpha 90.00
_cell_angle_beta 90.00
_cell_angle_gamma 90.00
_space_group_name_H-M_alt 'P 4/m m m'
_space_group_IT_number 123
_space_group_name_Hall '-P 4 2'
loop_
_atom_site_label
_atom_site_type_symbol
_atom_site_fract_x
_atom_site_fract_y
_atom_site_fract_z
Tb1 Tb 0.0000 0.0000 0.0000
Tb2 Tb 0.0000 0.0000 0.1958
Tb3 Tb 0.0000 0.0000 0.3985
Tb4 Tb 0.0000 0.5000 0.0963
Tb5 Tb 0.0000 0.5000 0.2982
Tb6 Tb 0.0000 0.5000 0.5000
Y1 Y 0.5000 0.5000 0.1978
Y2 Y 0.5000 0.5000 0.3993
In1 In 0.5000 0.5000 0.0000
```

For the energy, the calculation gives -4.936 eV/atom. The formation energy from the elements is -0.0338 eV/atom. The calculation puts the total magnetic moment at 0.001 μB per formula unit.


(3)
The following is a GGA-PBE calculation of GdTlAg after structural relaxation, from Alexandria.

Cell and atoms, written as CIF:
```
data_GdTlAg
_cell_length_a 3.6677
_cell_length_b 3.6677
_cell_length_c 11.1515
_cell_angle_alpha 90.00
_cell_angle_beta 90.00
_cell_angle_gamma 90.00
_space_group_name_H-M_alt 'I 4 m m'
_space_group_IT_number 107
_space_group_name_Hall 'I 4 -2'
loop_
_atom_site_label
_atom_site_type_symbol
_atom_site_fract_x
_atom_site_fract_y
_atom_site_fract_z
Gd1 Gd 0.0000 0.0000 0.0000
Tl1 Tl 0.0000 0.0000 0.3128
Ag1 Ag 0.0000 0.0000 0.6640
```

For the energy, the calculation gives -6.620 eV/atom. The formation energy from the elements is -0.1873 eV/atom. The calculation puts the total magnetic moment at 7.458 μB per formula unit.


(4)
The following is a GGA-PBE calculation of MgBe2Ag after structural relaxation, from Alexandria.

Cell and atoms, written as CIF:
```
data_MgBe2Ag
_cell_length_a 9.2089
_cell_length_b 3.0952
_cell_length_c 4.1937
_cell_angle_alpha 90.00
_cell_angle_beta 116.84
_cell_angle_gamma 90.00
_space_group_name_H-M_alt 'C 1 m 1'
_space_group_IT_number 8
loop_
_space_group_symop_operation_xyz
'x,y,z'
'x,-y,z'
'x+1/2,y+1/2,z'
'x+1/2,-y+1/2,z'
loop_
_atom_site_label
_atom_site_type_symbol
_atom_site_fract_x
_atom_site_fract_y
_atom_site_fract_z
Mg1 Mg 0.0000 0.0000 0.0000
Be1 Be 0.2732 0.5000 0.2742
Be2 Be 0.4696 0.0000 0.4694
Ag1 Ag 0.2223 0.0000 0.7219
```

For the energy, the calculation gives -2.783 eV/atom. The formation energy from the elements is 0.1914 eV/atom. The calculation puts the total magnetic moment at 0.000 μB per formula unit.